The following is a DFT calculation (PBE with a Hubbard U) of a geometry-optimized VFe3O6 structure.

Structure (POSCAR):
```
VFe3O6
1.0
5.103 0.000 0.000
0.000 5.126 0.000
-4.933 0.000 8.414
V Fe O
2 6 12
Direct
0.000 0.000 0.000
0.000 0.500 0.500
0.301 0.011 0.795
0.301 0.489 0.295
0.500 0.000 0.500
0.500 0.500 0.000
0.699 0.511 0.705
0.699 0.989 0.205
0.001 0.711 0.333
0.001 0.789 0.833
0.332 0.749 0.153
0.332 0.751 0.653
0.336 0.177 0.009
0.336 0.323 0.509
0.664 0.677 0.491
0.664 0.823 0.991
0.668 0.249 0.347
0.668 0.251 0.847
0.999 0.211 0.167
0.999 0.289 0.667
```

Crystal system: monoclinic
Uncorrected energy (eV/atom): -6.953
Distance to the lowest polymorph of the same formula (eV/atom): 0.000
Space group: P2_1/c